Record 1
# CrTc3Os | Alexandria | PBE | optimized geometry
# **ΔH_f (0 K)**: 1.434 eV/atom
# **D(E_F)**: 1.2336 states/eV per atom
# **Energy above the lowest structure with this stoichiometry**: 0.0000 eV/atom
data_CrTc3Os
_cell_length_a 4.331
_cell_length_b 4.331
_cell_length_c 4.331
_cell_angle_alpha 90.00
_cell_angle_beta 90.00
_cell_angle_gamma 90.00
_space_group_name_H-M_alt 'P m -3 m'
_space_group_IT_number 221
_space_group_name_Hall '-P 4 2 3'
loop_
_atom_site_label
_atom_site_fract_x
_atom_site_fract_y
_atom_site_fract_z
Cr1 0.000 0.000 0.000
Tc1 0.000 0.000 0.500
Os1 0.500 0.500 0.500



Record 2
# LiSc2Al2 | Alexandria | PBE | optimized geometry
# **ΔH_f (0 K)**: -0.116 eV/atom
# **D(E_F)**: 0.4948 states/eV per atom
# **Energy above the lowest structure with this stoichiometry**: 0.1275 eV/atom
data_LiSc2Al2
_cell_length_a 8.464
_cell_length_b 8.464
_cell_length_c 3.046
_cell_angle_alpha 90.00
_cell_angle_beta 90.00
_cell_angle_gamma 90.00
_space_group_name_H-M_alt 'P 4/m b m'
_space_group_IT_number 127
_space_group_name_Hall '-P 4 2ab'
loop_
_atom_site_label
_atom_site_fract_x
_atom_site_fract_y
_atom_site_fract_z
Li1 0.000 0.000 0.000
Sc1 0.124 0.376 0.000
Al1 0.175 0.675 0.500



Question: Which of these has the lowest ΔH_f (0 K)?
Answer: LiSc2Al2